# 1
An optimized crystal structure of TlTeRu3, computed with GGA-PBEsol.

a b c (Å): 4.7448 4.7448 4.7448
angles (deg): 90.00 90.00 90.00
Sites, in units of the cell vectors:
Ru1 0.5000 0.0000 0.0000
Ru2 0.0000 0.0000 0.5000
Ru3 0.0000 0.5000 0.0000
Tl1 0.5000 0.5000 0.5000
Te1 0.0000 0.0000 0.0000

**Volume**: 21.4 Å³/atom
**Space group**: Pm-3m (221)
**Formation energy without anion corrections**: 1.504 eV/atom

# 2
An optimized crystal structure of Tl2TeRu, computed with GGA-PBEsol.

a b c (Å): 3.5845 4.6965 6.0615
angles (deg): 111.76 105.90 93.22
Sites, in units of the cell vectors:
Ru1 0.0000 0.5000 0.0000
Tl1 0.0000 0.0000 0.5000
Tl2 0.5000 0.5000 0.5000
Te1 0.5000 0.0000 0.0000

**Offset from the most stable computed form**: 324.2 meV per atom
**Volume**: 22.4 Å³/atom
**Space group**: C2/m (12)
**Formation energy without anion corrections**: 0.588 eV/atom